The following is a GGA+U calculation of crystalline Na3Ce2CoO6 at its relaxed geometry, from Alexandria.

Lattice parameters (Å, degrees): 5.8911 5.8911 5.8947 99.34 99.34 119.85
Closest atoms and distances in Å follow each position.
Fractional coordinates of all 12 atoms:
O  0.4098  0.0725  0.2187  2 Ce 2.29-2.30, 1 Co 2.34, 2 Na 2.52-2.53
O  0.2644  0.2644  0.7869  1 Co 2.30, 2 Ce 2.31, 3 Na 2.46-2.51
Na  0.5000  0.5000  0.5000  6 O 2.51-2.53
Ce  0.3317  0.6683  0.0000  6 O 2.29-2.31
Ce  0.6683  0.3317  0.0000  6 O 2.29-2.31
O  0.0725  0.4098  0.2187  2 Ce 2.29-2.30, 1 Co 2.34, 2 Na 2.52-2.53
O  0.9275  0.5902  0.7813  2 Ce 2.29-2.30, 1 Co 2.34, 2 Na 2.52-2.53
O  0.7356  0.7356  0.2131  1 Co 2.30, 2 Ce 2.31, 3 Na 2.46-2.51
Co  0.0000  0.0000  0.0000  6 O 2.30-2.34
Na  0.1542  0.8458  0.5000  6 O 2.46-2.59
O  0.5902  0.9275  0.7813  2 Ce 2.29-2.30, 1 Co 2.34, 2 Na 2.52-2.53
Na  0.8458  0.1542  0.5000  6 O 2.46-2.59

Calculated values
- electronic total energy (eV per cell) = -77.805
- Fermi-level density of states (states/eV/cell) = 4.8
- V (Å³/atom) = 13.99
- space-group type = C2/m, No. 12